First-principles (PBE-GGA) data for a relaxed structure of SrPtO, as listed in Alexandria via LeMat-Bulk.

The structure in POSCAR format:
```
SrPtO
1.0
-6.180 -0.367 4.741
-1.937 -0.844 -2.590
1.668 -8.485 1.518
Pt O Sr
4 4 4
direct
0.750 0.750 0.529 Pt
0.750 0.250 0.029 Pt
0.250 0.750 0.971 Pt
0.250 0.250 0.471 Pt
0.750 0.750 0.764 O
0.250 0.750 0.736 O
0.750 0.250 0.264 O
0.250 0.250 0.236 O
0.500 0.250 0.750 Sr
0.000 0.750 0.250 Sr
0.000 0.250 0.750 Sr
0.500 0.750 0.250 Sr
```

---

First-principles (PBE-GGA) data for a relaxed structure of SrPtO, as listed in Alexandria via LeMat-Bulk.

The structure in POSCAR format:
```
SrPtO
1.0
5.118 0.000 0.001
0.001 4.344 0.000
1.056 2.172 5.777
O Pt Sr
2 2 2
direct
0.422 0.178 0.109 O
0.961 0.849 0.767 O
0.201 0.016 0.432 Pt
0.646 0.939 0.586 Pt
0.637 0.650 0.166 Sr
0.199 0.337 0.790 Sr
```

---

First-principles (PBE-GGA) data for a relaxed structure of Sr2Pt3O8, as listed in Alexandria via LeMat-Bulk.

The structure in POSCAR format:
```
Sr2Pt3O8
1.0
5.293 -0.117 -1.293
-0.517 5.815 -2.644
-0.484 -0.574 6.599
Pt O Sr
3 8 2
direct
0.000 0.748 0.000 Pt
0.000 0.252 0.000 Pt
0.500 0.000 0.000 Pt
0.054 0.403 0.806 O
0.946 0.597 0.194 O
0.609 0.118 0.796 O
0.391 0.882 0.204 O
0.391 0.322 0.204 O
0.098 0.909 0.818 O
0.902 0.091 0.182 O
0.609 0.678 0.796 O
0.339 0.282 0.564 Sr
0.661 0.718 0.436 Sr
```

---

First-principles (PBE-GGA) data for a relaxed structure of Sr5PtO6, as listed in Alexandria via LeMat-Bulk.

The structure in POSCAR format:
```
Sr5PtO6
1.0
-3.732 0.158 4.878
-5.133 -3.053 -1.623
-0.358 -6.219 1.030
Sr O Pt
5 6 1
direct
0.500 0.839 0.322 Sr
0.500 0.500 0.000 Sr
0.500 0.161 0.678 Sr
0.000 0.672 0.655 Sr
0.000 0.328 0.345 Sr
0.731 0.098 0.344 O
0.731 0.442 0.656 O
0.269 0.902 0.656 O
0.787 0.776 0.000 O
0.269 0.558 0.344 O
0.213 0.224 0.000 O
0.000 0.000 0.000 Pt
```

---

First-principles (PBE-GGA) data for a relaxed structure of SrPtO, as listed in Alexandria via LeMat-Bulk.

The structure in POSCAR format:
```
SrPtO
1.0
-4.294 0.086 -0.846
-0.808 -1.779 3.917
-0.366 5.477 2.412
O Sr Pt
2 2 2
direct
0.000 0.000 0.500 O
0.500 0.500 0.500 O
0.500 0.000 0.213 Sr
0.000 0.500 0.787 Sr
0.000 0.500 0.309 Pt
0.500 0.000 0.691 Pt
```

---

First-principles (PBE-GGA) data for a relaxed structure of SrPtO, as listed in Alexandria via LeMat-Bulk.

The structure in POSCAR format:
```
SrPtO
1.0
11.862 0.000 0.000
0.000 5.789 0.000
0.000 0.000 3.358
Pt Sr O
4 4 4
direct
0.646 0.750 0.500 Pt
0.854 0.250 0.000 Pt
0.146 0.750 0.000 Pt
0.354 0.250 0.500 Pt
0.596 0.250 0.000 Sr
0.904 0.750 0.500 Sr
0.096 0.250 0.500 Sr
0.404 0.750 0.000 Sr
0.500 0.500 0.500 O
0.500 0.000 0.500 O
0.000 0.000 0.000 O
0.000 0.500 0.000 O
```

---

The E_tot results, record by record, are as follows: -5.26, -5.65, -6.03, -5.86, -4.81, -5.24 eV per atom.